Here is BaVZn after structural relaxation from Alexandria. Energies are from PBE.

a b c (Å): 5.133 5.209 5.928
angles (deg): 95.15 95.90 93.72
Fractional positions:
V (0.627, 0.622, 0.957)
V (0.373, 0.378, 0.043)
Zn (0.169, 0.838, 0.997)
Zn (0.831, 0.162, 0.003)
Ba (0.500, 0.000, 0.500)
Ba (0.000, 0.500, 0.500)

energy above the most stable polymorph in this dataset	96	meV/atom
ΔE_f	0.38	eV per atom
density of states at the Fermi level	5.43	states/eV/cell